Record 1
# PaPdNO GGA-PBE optimized geometry
# **Magnetization**: 0.00 μB per cell
# **Raw total energy**: -7.94 eV/atom
# **V**: 17.6 A^3/atom
# **Relative energy among the computed polymorphs**: 185 meV/atom
# **Theoretical density**: 8.7 g/cm³
data_PaPdNO
_space_group_name_H-M_alt 'P m c 21'
_space_group_IT_number 26
_space_group_name_Hall 'P 2c -2'
_cell_length_a 4.046
_cell_length_b 6.804
_cell_length_c 5.123
_cell_angle_alpha 90.00
_cell_angle_beta 90.00
_cell_angle_gamma 90.00
loop_
_atom_site_label
_atom_site_fract_x
_atom_site_fract_y
_atom_site_fract_z
Pa1 0.000 0.210 0.000
Pd1 0.500 0.462 0.546
N1 0.500 0.261 0.841
O1 0.000 0.097 0.395

***

Record 2
# KAsPd GGA-PBE optimized geometry
# **Raw total energy**: -3.49 eV/atom
# **V**: 24.5 A^3/atom
# **Theoretical density**: 5.0 g/cm³
data_KAsPd
_space_group_name_H-M_alt 'F -4 3 m'
_space_group_IT_number 216
_space_group_name_Hall 'F -4 2 3'
_cell_length_a 6.654
_cell_length_b 6.654
_cell_length_c 6.654
_cell_angle_alpha 90.00
_cell_angle_beta 90.00
_cell_angle_gamma 90.00
loop_
_atom_site_label
_atom_site_fract_x
_atom_site_fract_y
_atom_site_fract_z
K1 0.000 0.000 0.000
As1 0.000 0.000 0.500
Pd1 0.250 0.250 0.750